Crystalline ZrTa2ClO at its relaxed geometry, computed with GGA-PBE.

As for the density of states at the Fermi level: 3.441 states/eV/cell. For the total energy, the calculation gives -6.71 eV/atom. The formation energy from raw total energies comes out at 1.10 eV/atom.

The space group is P4/mmm (No. 123) and the conventional cell measures 4.4230, 4.4230 and 4.9434 Å, with angles of 90.00, 90.00 and 90.00 degrees. Symmetry generates all atoms from Zr at (0.0000, 0.0000, 0.0000), Ta at (0.0000, 0.5000, 0.5000), Cl at (0.0000, 0.0000, 0.5000) and O at (0.5000, 0.5000, 0.0000).